Record 1
HfTc3S | SCAN | single point on PBEsol structure

Unit cell a=4.7002 b=4.7002 c=4.7002 alpha=90.00 beta=90.00 gamma=90.00
With the nearest neighbours (Å) after each atom.
Positions (direct):
S 0.5000 0.5000 0.5000  12 Tc 3.32
Hf 0.0000 0.0000 0.0000  6 Tc 2.35
Tc 0.0000 0.5000 0.0000  2 Hf 2.35
Tc 0.0000 0.0000 0.5000  2 Hf 2.35
Tc 0.5000 0.0000 0.0000  2 Hf 2.35

Calculated values
spin magnetization	1.3132	μB/atom
formation energy from raw total energies	212	kJ/mol of atoms



Record 2
HfTeS3 | SCAN | single point on PBEsol structure

Unit cell a=4.8670 b=4.8670 c=4.8670 alpha=90.00 beta=90.00 gamma=90.00
With the nearest neighbours (Å) after each atom.
Positions (direct):
S 0.0000 0.5000 0.0000  2 Hf 2.43
S 0.0000 0.0000 0.5000  2 Hf 2.43
S 0.5000 0.0000 0.0000  2 Hf 2.43
Te 0.5000 0.5000 0.5000  12 S 3.44
Hf 0.0000 0.0000 0.0000  6 S 2.43

Calculated values
spin magnetization	0.0000	μB/atom
formation energy from raw total energies	-42	kJ/mol of atoms



Record 3
HfTlTeS2 | SCAN | single point on PBEsol structure

Unit cell a=4.8851 b=4.8851 c=5.5527 alpha=90.00 beta=90.00 gamma=90.00
With the nearest neighbours (Å) after each atom.
Positions (direct):
Tl 0.0000 0.0000 0.0000  4 S 2.44
Te 0.0000 0.0000 0.5000  2 Tl 2.78
Hf 0.5000 0.5000 0.5000  4 Te 3.45, 8 S 3.70
S 0.0000 0.5000 0.0000  2 Tl 2.44
S 0.5000 0.0000 0.0000  2 Tl 2.44

Calculated values
spin magnetization	0.0004	μB/atom
formation energy from raw total energies	77	kJ/mol of atoms



Record 4
Hf2TlS | SCAN | single point on PBEsol structure

Unit cell a=4.7575 b=4.7575 c=4.7575 alpha=60.00 beta=60.00 gamma=60.00
With the nearest neighbours (Å) after each atom.
Positions (direct):
Tl 0.5000 0.5000 0.5000  8 Hf 2.91
Hf 0.2500 0.2500 0.2500  4 Tl 2.91, 4 S 2.91
Hf 0.7500 0.7500 0.7500  4 S 2.91, 4 Tl 2.91
S 0.0000 0.0000 0.0000  8 Hf 2.91

Calculated values
spin magnetization	0.0000	μB/atom
formation energy from raw total energies	-22	kJ/mol of atoms



Record 5
HfTlS3 | SCAN | single point on PBEsol structure

Unit cell a=4.9340 b=4.9340 c=4.9340 alpha=90.00 beta=90.00 gamma=90.00
With the nearest neighbours (Å) after each atom.
Positions (direct):
Tl 0.5000 0.5000 0.5000  12 S 3.49
Hf 0.0000 0.0000 0.0000  6 S 2.47
S 0.0000 0.5000 0.0000  2 Hf 2.47
S 0.0000 0.0000 0.5000  2 Hf 2.47
S 0.5000 0.0000 0.0000  2 Hf 2.47

Calculated values
spin magnetization	0.0000	μB/atom
formation energy from raw total energies	-95	kJ/mol of atoms



Record 6
Y2HfS5 | SCAN | single point on PBEsol structure

Unit cell a=7.1484 b=7.6525 c=11.3477 alpha=90.00 beta=90.00 gamma=90.00
With the nearest neighbours (Å) after each atom.
Positions (direct):
Y 0.0255 0.9974 0.1783  8 S 2.78-2.93
Y 0.5255 0.0026 0.3217  8 S 2.78-2.93
Y 0.9745 0.4974 0.8217  8 S 2.78-2.93
Y 0.4745 0.5026 0.6783  8 S 2.78-2.93
Y 0.5255 0.4974 0.3217  8 S 2.78-2.93
Y 0.0255 0.5026 0.1783  8 S 2.78-2.93
Y 0.4745 0.9974 0.6783  8 S 2.78-2.93
Y 0.9745 0.0026 0.8217  8 S 2.78-2.93
Hf 0.5768 0.2500 0.0067  7 S 2.49-2.65
Hf 0.0768 0.7500 0.4933  7 S 2.49-2.65
Hf 0.4232 0.7500 0.9933  7 S 2.49-2.65
Hf 0.9232 0.2500 0.5067  7 S 2.49-2.65
S 0.6881 0.2500 0.7916  1 Hf 2.57, 4 Y 2.78-2.81
S 0.1881 0.7500 0.7084  1 Hf 2.57, 4 Y 2.78-2.81
S 0.3119 0.7500 0.2084  1 Hf 2.57, 4 Y 2.78-2.81
S 0.8119 0.2500 0.2916  1 Hf 2.57, 4 Y 2.78-2.81
S 0.9480 0.2500 0.0034  1 Hf 2.65, 4 Y 2.81-2.83
S 0.4480 0.7500 0.4966  1 Hf 2.65, 4 Y 2.81-2.83
S 0.0520 0.7500 0.9966  1 Hf 2.65, 4 Y 2.81-2.83
S 0.5520 0.2500 0.5034  1 Hf 2.65, 4 Y 2.81-2.83
S 0.1668 0.2500 0.6816  1 Hf 2.64, 4 Y 2.83-2.93
S 0.6668 0.7500 0.8184  1 Hf 2.64, 4 Y 2.83-2.93
S 0.8332 0.7500 0.3184  1 Hf 2.64, 4 Y 2.83-2.93
S 0.3332 0.2500 0.1816  1 Hf 2.64, 4 Y 2.83-2.93
S 0.1631 0.0384 0.4078  2 Hf 2.49-2.61, 1 Y 2.78
S 0.6631 0.9616 0.0922  2 Hf 2.49-2.61, 1 Y 2.78
S 0.8369 0.5384 0.5922  2 Hf 2.49-2.61, 1 Y 2.78
S 0.3369 0.4616 0.9078  2 Hf 2.49-2.61, 1 Y 2.78
S 0.8369 0.9616 0.5922  2 Hf 2.49-2.61, 1 Y 2.78
S 0.3369 0.0384 0.9078  2 Hf 2.49-2.61, 1 Y 2.78
S 0.1631 0.4616 0.4078  2 Hf 2.49-2.61, 1 Y 2.78
S 0.6631 0.5384 0.0922  2 Hf 2.49-2.61, 1 Y 2.78

Calculated values
spin magnetization	0.0000	μB/atom
formation energy from raw total energies	-208	kJ/mol of atoms



Record 7
HfZr2S2 | SCAN | single point on PBEsol structure

Unit cell a=4.7312 b=4.7312 c=5.5298 alpha=115.33 beta=115.33 gamma=90.00
With the nearest neighbours (Å) after each atom.
Positions (direct):
S 0.2500 0.7500 0.5000  4 Zr 2.51
S 0.7500 0.2500 0.5000  4 Zr 2.51
Hf 0.0000 0.0000 0.0000  2 Zr 3.05, 8 S 3.23
Zr 0.3468 0.3468 0.6935  4 S 2.51, 1 Zr 2.70
Zr 0.6532 0.6532 0.3065  4 S 2.51, 1 Zr 2.70

Calculated values
spin magnetization	0.0000	μB/atom
formation energy from raw total energies	-58	kJ/mol of atoms



Record 8
Hf5Sb3 | SCAN | single point on PBEsol structure

Unit cell a=7.3550 b=8.7167 c=10.6264 alpha=90.00 beta=90.00 gamma=90.00
With the nearest neighbours (Å) after each atom.
Positions (direct):
Hf 0.8010 0.4430 0.5573  5 Sb 2.81-3.05, 1 Hf 3.03
Hf 0.3010 0.0570 0.9427  5 Sb 2.81-3.05, 1 Hf 3.03
Hf 0.1990 0.9430 0.4427  5 Sb 2.81-3.05, 1 Hf 3.03
Hf 0.6990 0.5570 0.0573  5 Sb 2.81-3.05, 1 Hf 3.03
Hf 0.1456 0.2500 0.7159  5 Sb 2.81-2.99
Hf 0.6456 0.2500 0.7841  5 Sb 2.81-2.99
Hf 0.8544 0.7500 0.2841  5 Sb 2.81-2.99
Hf 0.3544 0.7500 0.2159  5 Sb 2.81-2.99
Hf 0.3010 0.4430 0.9427  5 Sb 2.81-3.05, 1 Hf 3.03
Hf 0.8010 0.0570 0.5573  5 Sb 2.81-3.05, 1 Hf 3.03
Hf 0.6990 0.9430 0.0573  5 Sb 2.81-3.05, 1 Hf 3.03
Hf 0.1990 0.5570 0.4427  5 Sb 2.81-3.05, 1 Hf 3.03
Hf 0.1957 0.7500 0.7224  4 Sb 2.79-2.97, 1 Hf 3.10
Hf 0.6957 0.7500 0.7776  4 Sb 2.79-2.97, 1 Hf 3.10
Hf 0.8043 0.2500 0.2776  4 Sb 2.79-2.97, 1 Hf 3.10
Hf 0.3043 0.2500 0.2224  4 Sb 2.79-2.97, 1 Hf 3.10
Hf 0.0266 0.7500 0.9895  5 Sb 2.90-2.94, 3 Hf 3.03-3.10
Hf 0.5266 0.7500 0.5105  5 Sb 2.90-2.94, 3 Hf 3.03-3.10
Hf 0.9734 0.2500 0.0105  5 Sb 2.90-2.94, 3 Hf 3.03-3.10
Hf 0.4734 0.2500 0.4895  5 Sb 2.90-2.94, 3 Hf 3.03-3.10
Sb 0.4174 0.7500 0.9555  8 Hf 2.79-2.97
Sb 0.9174 0.7500 0.5445  8 Hf 2.79-2.97
Sb 0.5826 0.2500 0.0445  8 Hf 2.79-2.97
Sb 0.0826 0.2500 0.4555  8 Hf 2.79-2.97
Sb 0.5721 0.9920 0.3241  9 Hf 2.87-3.18
Sb 0.0721 0.5080 0.1759  9 Hf 2.87-3.18
Sb 0.4279 0.4920 0.6759  9 Hf 2.87-3.18
Sb 0.9279 0.0080 0.8241  9 Hf 2.87-3.18
Sb 0.4279 0.0080 0.6759  9 Hf 2.87-3.18
Sb 0.9279 0.4920 0.8241  9 Hf 2.87-3.18
Sb 0.5721 0.5080 0.3241  9 Hf 2.87-3.18
Sb 0.0721 0.9920 0.1759  9 Hf 2.87-3.18

Calculated values
spin magnetization	0.0000	μB/atom
formation energy from raw total energies	-50	kJ/mol of atoms



Record 9
HfSc2Sb2 | SCAN | single point on PBEsol structure

Unit cell a=3.8635 b=7.5616 c=7.5616 alpha=90.00 beta=90.00 gamma=90.00
With the nearest neighbours (Å) after each atom.
Positions (direct):
Sc 0.5000 0.1577 0.6577  6 Sb 2.86-3.00
Sc 0.5000 0.6577 0.8423  6 Sb 2.86-3.00
Sc 0.5000 0.8423 0.3423  6 Sb 2.86-3.00
Sc 0.5000 0.3423 0.1577  6 Sb 2.86-3.00
Sb 0.0000 0.3545 0.8545  6 Sc 2.86-3.00, 2 Hf 2.90, 1 Sb 3.11
Sb 0.0000 0.8545 0.6455  6 Sc 2.86-3.00, 2 Hf 2.90, 1 Sb 3.11
Sb 0.0000 0.6455 0.1455  6 Sc 2.86-3.00, 2 Hf 2.90, 1 Sb 3.11
Sb 0.0000 0.1455 0.3545  6 Sc 2.86-3.00, 2 Hf 2.90, 1 Sb 3.11
Hf 0.0000 0.0000 0.0000  4 Sb 2.90
Hf 0.0000 0.5000 0.5000  4 Sb 2.90

Calculated values
spin magnetization	0.0002	μB/atom
formation energy from raw total energies	-72	kJ/mol of atoms



Record 10
Hf2SbSe | SCAN | single point on PBEsol structure

Unit cell a=6.0732 b=6.0732 c=7.5794 alpha=113.62 beta=113.62 gamma=90.00
With the nearest neighbours (Å) after each atom.
Positions (direct):
Sb 0.2500 0.7500 0.5000  4 Hf 2.76
Sb 0.0000 0.0000 0.0000  4 Hf 2.76
Hf 0.8457 0.3750 0.2500  2 Se 2.56, 2 Sb 2.76
Hf 0.4043 0.8750 0.2500  2 Se 2.56, 2 Sb 2.76
Hf 0.6250 0.5957 0.7500  2 Se 2.56, 2 Sb 2.76
Hf 0.1250 0.1543 0.7500  2 Se 2.56, 2 Sb 2.76
Se 0.7500 0.2500 0.5000  4 Hf 2.56
Se 0.5000 0.5000 0.0000  4 Hf 2.56

Calculated values
spin magnetization	0.0000	μB/atom
formation energy from raw total energies	-8	kJ/mol of atoms



Record 11
HfSbSe2 | SCAN | single point on PBEsol structure

Unit cell a=3.6285 b=3.6285 c=9.1506 alpha=78.56 beta=78.56 gamma=60.00
With the nearest neighbours (Å) after each atom.
Positions (direct):
Sb 0.5000 0.5000 0.5000  6 Se 2.84
Hf 0.0000 0.0000 0.0000  2 Se 2.53
Se 0.9052 0.9052 0.2844  1 Hf 2.53
Se 0.0948 0.0948 0.7156  1 Hf 2.53

Calculated values
spin magnetization	0.0000	μB/atom
formation energy from raw total energies	9	kJ/mol of atoms



Record 12
HfSiSbSe2 | SCAN | single point on PBEsol structure

Unit cell a=4.9953 b=5.0911 c=5.0911 alpha=90.00 beta=90.00 gamma=90.00
With the nearest neighbours (Å) after each atom.
Positions (direct):
Sb 0.0000 0.0000 0.0000  2 Si 2.50, 4 Se 2.55
Si 0.5000 0.0000 0.0000  2 Sb 2.50
Hf 0.5000 0.5000 0.5000  8 Se 3.57, 4 Si 3.60
Se 0.0000 0.0000 0.5000  2 Sb 2.55
Se 0.0000 0.5000 0.0000  2 Sb 2.55

Calculated values
spin magnetization	0.0000	μB/atom
formation energy from raw total energies	97	kJ/mol of atoms



Quick rundown of final energy, same order as above: -2.448, -1.926, -2.757, -3.826, -2.482, -1.688, -2.151, -3.944, -2.490, -3.363, -2.567, -2.133 Ry per atom